Record 1
# LiLuHgAu (PBE-GGA, relaxed)
data_LiLuHgAu
_chemical_formula_sum 'Li4 Lu4 Hg4 Au4'
_cell_length_a 6.8797
_cell_length_b 6.8797
_cell_length_c 6.8797
_cell_angle_alpha 90.00
_cell_angle_beta 90.00
_cell_angle_gamma 90.00
_space_group_name_H-M_alt 'F -4 3 m'
_space_group_IT_number 216
_space_group_name_Hall 'F -4 2 3'
loop_
_atom_site_label
_atom_site_fract_x
_atom_site_fract_y
_atom_site_fract_z
Li1 0.0000 0.0000 0.0000
Lu1 0.0000 0.0000 0.5000
Hg1 0.2500 0.2500 0.2500
Au1 0.2500 0.2500 0.7500
# - ΔE_f: -0.55 eV/atom
# - DOS at the Fermi energy: 0.777 states/eV per atom

---

Record 2
# Li3Mg3HgAu2 (PBE-GGA, relaxed)
data_Li3Mg3HgAu2
_chemical_formula_sum 'Li3 Mg3 Hg1 Au2'
_cell_length_a 7.2934
_cell_length_b 7.2934
_cell_length_c 3.6832
_cell_angle_alpha 90.00
_cell_angle_beta 90.00
_cell_angle_gamma 120.00
_space_group_name_H-M_alt 'P -6 2 m'
_space_group_IT_number 189
_space_group_name_Hall 'P -6 -2'
loop_
_atom_site_label
_atom_site_fract_x
_atom_site_fract_y
_atom_site_fract_z
Li1 0.0000 0.7298 0.0000
Mg1 0.0000 0.4117 0.5000
Hg1 0.0000 0.0000 0.5000
Au1 0.3333 0.6667 0.0000
# - ΔE_f: -0.41 eV/atom
# - DOS at the Fermi energy: 0.491 states/eV per atom

---

Record 3
# LiHgMoAu2 (PBE-GGA, relaxed)
data_LiHgMoAu2
_chemical_formula_sum 'Li1 Hg1 Mo1 Au2'
_cell_length_a 5.2865
_cell_length_b 5.2865
_cell_length_c 5.3700
_cell_angle_alpha 90.00
_cell_angle_beta 90.00
_cell_angle_gamma 90.00
_space_group_name_H-M_alt 'P 4/m m m'
_space_group_IT_number 123
_space_group_name_Hall '-P 4 2'
loop_
_atom_site_label
_atom_site_fract_x
_atom_site_fract_y
_atom_site_fract_z
Li1 0.0000 0.0000 0.0000
Hg1 0.5000 0.5000 0.5000
Mo1 0.5000 0.5000 0.0000
Au1 0.0000 0.5000 0.5000
# - ΔE_f: 1.10 eV/atom
# - DOS at the Fermi energy: 0.464 states/eV per atom

---

Record 4
# Li6Hg2AuN (PBE-GGA, relaxed)
data_Li6Hg2AuN
_chemical_formula_sum 'Li6 Hg2 Au1 N1'
_cell_length_a 5.8219
_cell_length_b 5.9106
_cell_length_c 5.9285
_cell_angle_alpha 70.49
_cell_angle_beta 70.40
_cell_angle_gamma 69.55
_space_group_name_H-M_alt 'P -1'
_space_group_IT_number 2
loop_
_space_group_symop_operation_xyz
'x,y,z'
'-x,-y,-z'
loop_
_atom_site_label
_atom_site_fract_x
_atom_site_fract_y
_atom_site_fract_z
Li1 0.1598 0.3335 0.2707
Li2 0.1859 0.2247 0.8480
Li3 0.2699 0.6595 0.8211
Hg1 0.2666 0.7852 0.2857
Au1 0.5000 0.0000 0.5000
N1 0.0000 0.5000 0.0000
# - DOS at the Fermi energy: 0.271 states/eV per atom
# - E_tot: -2.70 eV per atom

---

Record 5
# LiNb2HgAu (PBE-GGA, relaxed)
data_LiNb2HgAu
_chemical_formula_sum 'Li1 Nb2 Hg1 Au1'
_cell_length_a 5.1275
_cell_length_b 5.1275
_cell_length_c 4.3265
_cell_angle_alpha 90.00
_cell_angle_beta 90.00
_cell_angle_gamma 90.00
_space_group_name_H-M_alt 'P 4/m m m'
_space_group_IT_number 123
_space_group_name_Hall '-P 4 2'
loop_
_atom_site_label
_atom_site_fract_x
_atom_site_fract_y
_atom_site_fract_z
Li1 0.0000 0.0000 0.0000
Nb1 0.0000 0.5000 0.5000
Hg1 0.0000 0.0000 0.5000
Au1 0.5000 0.5000 0.0000
# - ΔE_f: 1.29 eV/atom
# - DOS at the Fermi energy: 1.149 states/eV per atom

---

Record 6
# Li2NdHg2Au2 (PBE-GGA, relaxed)
data_Li2NdHg2Au2
_chemical_formula_sum 'Li6 Nd3 Hg6 Au6'
_cell_length_a 4.7577
_cell_length_b 4.7577
_cell_length_c 22.5616
_cell_angle_alpha 90.00
_cell_angle_beta 90.00
_cell_angle_gamma 120.00
_space_group_name_H-M_alt 'R -3 m'
_space_group_IT_number 166
_space_group_name_Hall '-R 3 2"'
loop_
_atom_site_label
_atom_site_fract_x
_atom_site_fract_y
_atom_site_fract_z
Li1 0.0000 0.0000 0.1437
Nd1 0.0000 0.0000 0.0000
Hg1 0.0000 0.0000 0.2632
Au1 0.0000 0.0000 0.4353
# - ΔE_f: -0.41 eV/atom
# - DOS at the Fermi energy: 0.536 states/eV per atom

---

Record 7
# Li2NdHgAu2 (PBE-GGA, relaxed)
data_Li2NdHgAu2
_chemical_formula_sum 'Li2 Nd1 Hg1 Au2'
_cell_length_a 4.6084
_cell_length_b 4.6084
_cell_length_c 6.6922
_cell_angle_alpha 90.00
_cell_angle_beta 90.00
_cell_angle_gamma 120.00
_space_group_name_H-M_alt 'P -3 m 1'
_space_group_IT_number 164
_space_group_name_Hall '-P 3 2"'
loop_
_atom_site_label
_atom_site_fract_x
_atom_site_fract_y
_atom_site_fract_z
Li1 0.3333 0.6667 0.1549
Nd1 0.0000 0.0000 0.5000
Hg1 0.0000 0.0000 0.0000
Au1 0.3333 0.6667 0.7492
# - ΔE_f: -0.56 eV/atom
# - DOS at the Fermi energy: 0.644 states/eV per atom

---

Record 8
# LiNiHgAu (PBE-GGA, relaxed)
data_LiNiHgAu
_chemical_formula_sum 'Li4 Ni4 Hg4 Au4'
_cell_length_a 6.2937
_cell_length_b 6.2937
_cell_length_c 6.2937
_cell_angle_alpha 90.00
_cell_angle_beta 90.00
_cell_angle_gamma 90.00
_space_group_name_H-M_alt 'F -4 3 m'
_space_group_IT_number 216
_space_group_name_Hall 'F -4 2 3'
loop_
_atom_site_label
_atom_site_fract_x
_atom_site_fract_y
_atom_site_fract_z
Li1 0.0000 0.0000 0.0000
Ni1 0.0000 0.0000 0.5000
Hg1 0.2500 0.2500 0.2500
Au1 0.2500 0.2500 0.7500
# - ΔE_f: -0.16 eV/atom
# - DOS at the Fermi energy: 0.818 states/eV per atom

---

Record 9
# LiHgOsAu2 (PBE-GGA, relaxed)
data_LiHgOsAu2
_chemical_formula_sum 'Li1 Hg1 Os1 Au2'
_cell_length_a 5.0150
_cell_length_b 5.0150
_cell_length_c 4.9211
_cell_angle_alpha 90.00
_cell_angle_beta 90.00
_cell_angle_gamma 90.00
_space_group_name_H-M_alt 'P 4/m m m'
_space_group_IT_number 123
_space_group_name_Hall '-P 4 2'
loop_
_atom_site_label
_atom_site_fract_x
_atom_site_fract_y
_atom_site_fract_z
Li1 0.0000 0.0000 0.0000
Hg1 0.5000 0.5000 0.0000
Os1 0.0000 0.0000 0.5000
Au1 0.0000 0.5000 0.5000
# - ΔE_f: 0.91 eV/atom
# - DOS at the Fermi energy: 0.885 states/eV per atom

---

Record 10
# Li2HgPAu (PBE-GGA, relaxed)
data_Li2HgPAu
_chemical_formula_sum 'Li2 Hg1 P1 Au1'
_cell_length_a 4.8905
_cell_length_b 4.8905
_cell_length_c 4.6640
_cell_angle_alpha 90.00
_cell_angle_beta 90.00
_cell_angle_gamma 90.00
_space_group_name_H-M_alt 'P 4/m m m'
_space_group_IT_number 123
_space_group_name_Hall '-P 4 2'
loop_
_atom_site_label
_atom_site_fract_x
_atom_site_fract_y
_atom_site_fract_z
Li1 0.0000 0.5000 0.0000
Hg1 0.0000 0.0000 0.5000
P1 0.5000 0.5000 0.0000
Au1 0.5000 0.5000 0.5000
# - ΔE_f: -0.30 eV/atom
# - DOS at the Fermi energy: 0.268 states/eV per atom

---

Record 11
# Li2HgPbAu4 (PBE-GGA, relaxed)
data_Li2HgPbAu4
_chemical_formula_sum 'Li6 Hg3 Pb3 Au12'
_cell_length_a 4.6848
_cell_length_b 4.6848
_cell_length_c 24.2853
_cell_angle_alpha 90.00
_cell_angle_beta 90.00
_cell_angle_gamma 120.00
_space_group_name_H-M_alt 'R -3 m'
_space_group_IT_number 166
_space_group_name_Hall '-R 3 2"'
loop_
_atom_site_label
_atom_site_fract_x
_atom_site_fract_y
_atom_site_fract_z
Li1 0.0000 0.0000 0.2455
Hg1 0.0000 0.0000 0.5000
Pb1 0.0000 0.0000 0.0000
Au1 0.0000 0.0000 0.1245
Au2 0.0000 0.0000 0.3832
# - ΔE_f: -0.25 eV/atom
# - DOS at the Fermi energy: 0.364 states/eV per atom

---

Record 12
# LiHgPbAu (PBE-GGA, relaxed)
data_LiHgPbAu
_chemical_formula_sum 'Li1 Hg1 Pb1 Au1'
_cell_length_a 3.4689
_cell_length_b 3.4689
_cell_length_c 7.2331
_cell_angle_alpha 90.00
_cell_angle_beta 90.00
_cell_angle_gamma 90.00
_space_group_name_H-M_alt 'P 4 m m'
_space_group_IT_number 99
loop_
_space_group_symop_operation_xyz
'x,y,z'
'-y,x,z'
'-x,-y,z'
'y,-x,z'
'-x,y,z'
'y,x,z'
'x,-y,z'
'-y,-x,z'
loop_
_atom_site_label
_atom_site_fract_x
_atom_site_fract_y
_atom_site_fract_z
Li1 0.0000 0.0000 0.0000
Hg1 0.5000 0.5000 0.7710
Pb1 0.0000 0.0000 0.4434
Au1 0.5000 0.5000 0.1751
# - ΔE_f: -0.24 eV/atom
# - DOS at the Fermi energy: 0.414 states/eV per atom

---

Record 13
# Li2Hg2Pd2Au (PBE-GGA, relaxed)
data_Li2Hg2Pd2Au
_chemical_formula_sum 'Li4 Hg4 Pd4 Au2'
_cell_length_a 8.9387
_cell_length_b 4.0772
_cell_length_c 6.6361
_cell_angle_alpha 90.00
_cell_angle_beta 100.48
_cell_angle_gamma 90.00
_space_group_name_H-M_alt 'C 1 2/m 1'
_space_group_IT_number 12
loop_
_space_group_symop_operation_xyz
'x,y,z'
'-x,-y,-z'
'-x,y,-z'
'x,-y,z'
'x+1/2,y+1/2,z'
'-x+1/2,-y+1/2,-z'
'-x+1/2,y+1/2,-z'
'x+1/2,-y+1/2,z'
loop_
_atom_site_label
_atom_site_fract_x
_atom_site_fract_y
_atom_site_fract_z
Li1 0.2035 0.0000 0.1673
Hg1 0.0876 0.0000 0.7221
Pd1 0.1375 0.5000 0.4209
Au1 0.0000 0.5000 0.0000
# - ΔE_f: -0.35 eV/atom
# - DOS at the Fermi energy: 0.347 states/eV per atom

---

Record 14
# Li5Hg2PdAu2 (PBE-GGA, relaxed)
data_Li5Hg2PdAu2
_chemical_formula_sum 'Li10 Hg4 Pd2 Au4'
_cell_length_a 10.7042
_cell_length_b 10.7042
_cell_length_c 3.0768
_cell_angle_alpha 90.00
_cell_angle_beta 90.00
_cell_angle_gamma 90.00
_space_group_name_H-M_alt 'P 4/m b m'
_space_group_IT_number 127
_space_group_name_Hall '-P 4 2ab'
loop_
_atom_site_label
_atom_site_fract_x
_atom_site_fract_y
_atom_site_fract_z
Li1 0.0000 0.5000 0.0000
Li2 0.0301 0.1937 0.0000
Hg1 0.1673 0.6673 0.5000
Pd1 0.0000 0.0000 0.5000
Au1 0.1414 0.3586 0.5000
# - ΔE_f: -0.36 eV/atom
# - DOS at the Fermi energy: 0.219 states/eV per atom

---

Record 15
# Li2Hg2Pd4Au (PBE-GGA, relaxed)
data_Li2Hg2Pd4Au
_chemical_formula_sum 'Li2 Hg2 Pd4 Au1'
_cell_length_a 5.1672
_cell_length_b 5.4633
_cell_length_c 6.8913
_cell_angle_alpha 91.27
_cell_angle_beta 110.13
_cell_angle_gamma 117.63
_space_group_name_H-M_alt 'P -1'
_space_group_IT_number 2
loop_
_space_group_symop_operation_xyz
'x,y,z'
'-x,-y,-z'
loop_
_atom_site_label
_atom_site_fract_x
_atom_site_fract_y
_atom_site_fract_z
Li1 0.1689 0.3519 0.3619
Hg1 0.4705 0.2105 0.8135
Pd1 0.1734 0.8666 0.3888
Pd2 0.3740 0.6615 0.7390
Au1 0.0000 0.0000 0.0000
# - ΔE_f: -0.23 eV/atom
# - DOS at the Fermi energy: 0.353 states/eV per atom

---

Record 16
# Li2HgPd2Au2 (PBE-GGA, relaxed)
data_Li2HgPd2Au2
_chemical_formula_sum 'Li6 Hg3 Pd6 Au6'
_cell_length_a 4.4975
_cell_length_b 4.4975
_cell_length_c 19.5187
_cell_angle_alpha 90.00
_cell_angle_beta 90.00
_cell_angle_gamma 120.00
_space_group_name_H-M_alt 'R -3 m'
_space_group_IT_number 166
_space_group_name_Hall '-R 3 2"'
loop_
_atom_site_label
_atom_site_fract_x
_atom_site_fract_y
_atom_site_fract_z
Li1 0.0000 0.0000 0.2213
Hg1 0.0000 0.0000 0.5000
Pd1 0.0000 0.0000 0.0790
Au1 0.0000 0.0000 0.3563
# - ΔE_f: -0.30 eV/atom
# - DOS at the Fermi energy: 0.221 states/eV per atom

---

Record 17
# LiHgPd2Au (PBE-GGA, relaxed)
data_LiHgPd2Au
_chemical_formula_sum 'Li1 Hg1 Pd2 Au1'
_cell_length_a 5.0783
_cell_length_b 5.0783
_cell_length_c 4.5043
_cell_angle_alpha 90.00
_cell_angle_beta 90.00
_cell_angle_gamma 90.00
_space_group_name_H-M_alt 'P 4/m m m'
_space_group_IT_number 123
_space_group_name_Hall '-P 4 2'
loop_
_atom_site_label
_atom_site_fract_x
_atom_site_fract_y
_atom_site_fract_z
Li1 0.0000 0.0000 0.0000
Hg1 0.5000 0.5000 0.0000
Pd1 0.0000 0.5000 0.5000
Au1 0.0000 0.0000 0.5000
# - ΔE_f: 0.34 eV/atom
# - Excess energy over the best structure of this formula in the dataset: 381 meV/atom
# - DOS at the Fermi energy: 0.309 states/eV per atom

---

Record 18
# Li4HgPdAu2 (PBE-GGA, relaxed)
data_Li4HgPdAu2
_chemical_formula_sum 'Li12 Hg3 Pd3 Au6'
_cell_length_a 4.4137
_cell_length_b 4.4137
_cell_length_c 21.9669
_cell_angle_alpha 90.00
_cell_angle_beta 90.00
_cell_angle_gamma 120.00
_space_group_name_H-M_alt 'R -3 m'
_space_group_IT_number 166
_space_group_name_Hall '-R 3 2"'
loop_
_atom_site_label
_atom_site_fract_x
_atom_site_fract_y
_atom_site_fract_z
Li1 0.0000 0.0000 0.1207
Li2 0.0000 0.0000 0.3721
Hg1 0.0000 0.0000 0.5000
Pd1 0.0000 0.0000 0.0000
Au1 0.0000 0.0000 0.2539
# - ΔE_f: -0.48 eV/atom
# - DOS at the Fermi energy: 0.240 states/eV per atom

---

Record 19
# LiHgPd2Au (PBE-GGA, relaxed)
data_LiHgPd2Au
_chemical_formula_sum 'Li4 Hg4 Pd8 Au4'
_cell_length_a 4.6640
_cell_length_b 11.2190
_cell_length_c 7.8243
_cell_angle_alpha 90.00
_cell_angle_beta 90.00
_cell_angle_gamma 90.00
_space_group_name_H-M_alt 'C m c m'
_space_group_IT_number 63
_space_group_name_Hall '-C 2c 2'
loop_
_atom_site_label
_atom_site_fract_x
_atom_site_fract_y
_atom_site_fract_z
Li1 0.0000 0.0000 0.0000
Hg1 0.0000 0.4370 0.2500
Pd1 0.0000 0.2235 0.0753
Au1 0.0000 0.3169 0.7500
# - ΔE_f: -0.04 eV/atom
# - Excess energy over the best structure of this formula in the dataset: 0 meV/atom
# - DOS at the Fermi energy: 0.671 states/eV per atom

---

Record 20
# LiHg2Pd5Au2 (PBE-GGA, relaxed)
data_LiHg2Pd5Au2
_chemical_formula_sum 'Li2 Hg4 Pd10 Au4'
_cell_length_a 10.7623
_cell_length_b 10.7623
_cell_length_c 3.0008
_cell_angle_alpha 90.00
_cell_angle_beta 90.00
_cell_angle_gamma 90.00
_space_group_name_H-M_alt 'P 4/m b m'
_space_group_IT_number 127
_space_group_name_Hall '-P 4 2ab'
loop_
_atom_site_label
_atom_site_fract_x
_atom_site_fract_y
_atom_site_fract_z
Li1 0.0000 0.0000 0.0000
Hg1 0.1607 0.3393 0.0000
Pd1 0.0000 0.5000 0.5000
Pd2 0.0034 0.8103 0.5000
Au1 0.1560 0.6560 0.0000
# - ΔE_f: -0.06 eV/atom
# - DOS at the Fermi energy: 0.399 states/eV per atom